# 1
Density functional theory data (GGA-PBE) for LiTiIn after structural relaxation.

Its formation energy is -0.069 eV per atom. For the polymorph energy (0 for the lowest one), the calculation gives 10.08 kJ/mol of atoms.

The structure belongs to space group Cm (No. 8); the cell edges are 9.212, 4.263 and 5.949 Å and the angles 90.00°, 103.49° and 90.00°. The asymmetric unit holds Li at (0.000, 0.000, 0.000), Li at (0.160, 0.500, 0.841), Ti at (0.177, 0.500, 0.357), Ti at (0.320, 0.000, 0.627), In at (0.002, 0.000, 0.515) and In at (0.333, 0.000, 0.131).

---

# 2
Density functional theory data (GGA-PBE) for NdTmPuMg after structural relaxation.

Its formation energy is 0.158 eV per atom.

The structure belongs to space group F-43m (No. 216); the cell edges are 7.764, 7.764 and 7.764 Å and the angles 90.00°, 90.00° and 90.00°. The asymmetric unit holds Nd at (0.000, 0.000, 0.000), Tm at (0.000, 0.000, 0.500), Pu at (0.250, 0.250, 0.750) and Mg at (0.250, 0.250, 0.250).

---

# 3
Density functional theory data (GGA-PBE) for LaCe2H8 after structural relaxation.

For the uncorrected energy, the calculation gives -99.4 eV for the cell shown.

The structure belongs to space group Immm (No. 71); the cell edges are 3.892, 5.414 and 11.685 Å and the angles 90.00°, 90.00° and 90.00°. The asymmetric unit holds La at (0.000, 0.000, 0.000), Ce at (0.000, 0.000, 0.328), H at (0.000, 0.224, 0.500), H at (0.000, 0.265, 0.162) and H at (0.000, 0.500, 0.335).

---

# 4
Density functional theory data (GGA-PBE) for K2CaI2 after structural relaxation.

For the polymorph energy (0 for the lowest one), the calculation gives 0.00 kJ/mol of atoms. The calculation puts the formation energy from raw total energies at -89.61 kJ per mole of atoms.

The structure belongs to space group P4/mbm (No. 127); the cell edges are 9.507, 9.507 and 4.732 Å and the angles 90.00°, 90.00° and 90.00°. The asymmetric unit holds K at (0.151, 0.349, 0.000), Ca at (0.000, 0.000, 0.500) and I at (0.156, 0.656, 0.500).

---

# 5
Density functional theory data (GGA-PBE) for Tb6Nd3Er after structural relaxation.

Its formation energy is 0.147 eV per atom. For the polymorph energy (0 for the lowest one), the calculation gives 0.00 kJ/mol of atoms.

The structure belongs to space group Cmc2_1 (No. 36); the cell edges are 10.949, 18.989 and 6.389 Å and the angles 90.00°, 90.00° and 90.00°. The asymmetric unit holds Tb at (0.000, 0.038, 0.000), Tb at (0.000, 0.272, 0.780), Tb at (0.168, 0.455, 0.682), Tb at (0.238, 0.290, 0.499), Nd at (0.000, 0.387, 0.203), Nd at (0.175, 0.114, 0.594) and Er at (0.000, 0.194, 0.257).

---

# 6
Density functional theory data (GGA-PBE) for NaTcO after structural relaxation.

For the polymorph energy (0 for the lowest one), the calculation gives 7.46 kJ/mol of atoms. The calculation puts the formation energy from raw total energies at -84.61 kJ per mole of atoms.

The structure belongs to space group C2/m (No. 12); the cell edges are 6.825, 2.783 and 11.061 Å and the angles 90.00°, 107.76° and 90.00°. The asymmetric unit holds Na at (0.217, 0.000, 0.174), Tc at (0.083, 0.500, 0.428) and O at (0.020, 0.000, 0.714).

---

# 7
Density functional theory data (GGA-PBE) for Bi2BN4 after structural relaxation.

The calculation puts the formation energy from raw total energies at 100.49 kJ per mole of atoms.

The structure belongs to space group I4/mmm (No. 139); the cell edges are 3.283, 3.283 and 16.513 Å and the angles 90.00°, 90.00° and 90.00°. The asymmetric unit holds Bi at (0.000, 0.000, 0.161), B at (0.000, 0.000, 0.500), N at (0.000, 0.000, 0.303) and N at (0.000, 0.500, 0.000).

---

# 8
Density functional theory data (GGA-PBE) for AgS2IN after structural relaxation.

For the polymorph energy (0 for the lowest one), the calculation gives 2.36 kJ/mol of atoms. The calculation puts the formation energy from raw total energies at 131.76 kJ per mole of atoms.

The structure belongs to space group P4/mmm (No. 123); the cell edges are 5.195, 5.195 and 3.976 Å and the angles 90.00°, 90.00° and 90.00°. The asymmetric unit holds Ag at (0.000, 0.000, 0.000), S at (0.000, 0.500, 0.500), I at (0.500, 0.500, 0.500) and N at (0.500, 0.500, 0.000).

---

What did the sixth record say?
Density functional theory data (GGA-PBE) for NaTcO after structural relaxation.

For the polymorph energy (0 for the lowest one), the calculation gives 7.46 kJ/mol of atoms. The calculation puts the formation energy from raw total energies at -84.61 kJ per mole of atoms.

The structure belongs to space group C2/m (No. 12); the cell edges are 6.825, 2.783 and 11.061 Å and the angles 90.00°, 107.76° and 90.00°. The asymmetric unit holds Na at (0.217, 0.000, 0.174), Tc at (0.083, 0.500, 0.428) and O at (0.020, 0.000, 0.714).

---

> What is the formula in the third record?

LaCe2H8